1.
Density functional theory data (PBEsol) for a relaxed structure of In2B2Br.

Output
E_tot: -20.676 eV/cell
SG: P4/mmm (123)

Cell and atoms, written as POSCAR:
```
In2B2Br
1.0
5.419 0.000 0.000
0.000 5.419 0.000
0.000 0.000 3.225
In B Br
2 2 1
direct
0.000 0.500 0.000 In
0.500 0.000 0.000 In
0.000 0.000 0.000 B
0.000 0.000 0.500 B
0.500 0.500 0.500 Br
```

***

2.
Density functional theory data (PBEsol) for a relaxed structure of B2IrBr.

Output
E_tot: -46.296 eV/cell
SG: I-42d (122)

Cell and atoms, written as POSCAR:
```
B2IrBr
1.0
-2.539 2.539 4.918
2.539 -2.539 4.918
2.539 2.539 -4.918
B Ir Br
4 2 2
direct
0.057 0.625 0.932 B
0.375 0.307 0.432 B
0.693 0.125 0.068 B
0.875 0.943 0.568 B
0.000 0.000 0.000 Ir
0.750 0.250 0.500 Ir
0.250 0.750 0.500 Br
0.500 0.500 0.000 Br
```

***

3.
Density functional theory data (PBEsol) for a relaxed structure of K3B6BrO10.

Output
E_tot: -147.655 eV/cell
SG: R3m (160)

Cell and atoms, written as POSCAR:
```
K3B6BrO10
1.0
5.061 2.922 2.963
-5.061 2.922 2.963
0.000 -5.844 2.963
K B Br O
3 6 1 10
direct
0.180 0.180 0.639 K
0.180 0.639 0.180 K
0.639 0.180 0.180 K
0.081 0.630 0.630 B
0.491 0.752 0.752 B
0.630 0.081 0.630 B
0.630 0.630 0.081 B
0.752 0.491 0.752 B
0.752 0.752 0.491 B
0.117 0.117 0.117 Br
0.287 0.619 0.619 O
0.509 0.745 0.977 O
0.509 0.977 0.745 O
0.619 0.287 0.619 O
0.619 0.619 0.287 O
0.673 0.673 0.673 O
0.745 0.509 0.977 O
0.745 0.977 0.509 O
0.977 0.509 0.745 O
0.977 0.745 0.509 O
```

***

4.
Density functional theory data (PBEsol) for a relaxed structure of KB2RhBr.

Output
E_tot: -23.826 eV/cell
SG: P4/mmm (123)

Cell and atoms, written as POSCAR:
```
KB2RhBr
1.0
4.099 0.000 0.000
0.000 4.099 0.000
0.000 0.000 5.592
K B Rh Br
1 2 1 1
direct
0.000 0.000 0.000 K
0.000 0.500 0.500 B
0.500 0.000 0.500 B
0.500 0.500 0.500 Rh
0.500 0.500 0.000 Br
```

***

Sequential volume output: 18.9, 15.9, 13.1, 18.8 Å³ per atom
Sequential magnetic moment output: 0.00, 0.00, 0.13, 0.00 μB/f.u.
Sequential formation energy without anion corrections output: 238, 644, -2390, 270 meV/atom